Here is crystalline DyCuPd4 at its relaxed geometry from the Alexandria database. Energies are from GGA-PBE.

a = 4.5286 Å, b = 18.5950 Å, c = 5.0105 Å
α = 90.00°, β = 90.00°, γ = 90.00°
With the nearest neighbours (Å) after each atom.
Space group Cmc2_1 (No. 36)
Unique sites:
1 Dy 0.0000 0.1349 0.0000 (multiplicity 4)  2 Cu 2.87, 9 Pd 2.91-3.07
2 Cu 0.0000 0.4051 0.8187 (multiplicity 4)  7 Pd 2.46-2.74
3 Pd 0.0000 0.0406 0.4980 (multiplicity 4)  2 Cu 2.64, 6 Pd 2.79-2.93
4 Pd 0.0000 0.2674 0.6863 (multiplicity 4)  1 Cu 2.64, 4 Pd 2.66-2.75, 1 Dy 2.92
5 Pd 0.0000 0.3166 0.1845 (multiplicity 4)  1 Cu 2.46, 4 Pd 2.66-2.75
6 Pd 0.0000 0.4601 0.3250 (multiplicity 4)  3 Cu 2.51-2.74, 3 Pd 2.76-2.79

Properties
**Total DFT energy (no corrections)**: -0.39020 Ry per atom
**E above lowest polymorph**: 0.0433 eV per atom
**Magnetization**: 0.00 μB per cell
**V**: 17.58 A^3/atom
**Energy of formation from the pure elements**: -397 meV/atom
**DOS(E_F)**: 10.4 states/eV/cell